1.
Below is a relaxed Cr2InSe crystal, with properties calculated at the GGA-PBEsol level.

Formation energy without anion corrections = 0.448 eV/atom

Geometry as CIF:
```
data_Cr2InSe
_chemical_formula_sum 'Cr4 In2 Se2'
_space_group_name_H-M_alt 'I -4 m 2'
_space_group_IT_number 119
_space_group_name_Hall 'I -4 -2'
_cell_length_a 3.836
_cell_length_b 3.836
_cell_length_c 9.564
_cell_angle_alpha 90.00
_cell_angle_beta 90.00
_cell_angle_gamma 90.00
loop_
_atom_site_label
_atom_site_type_symbol
_atom_site_fract_x
_atom_site_fract_y
_atom_site_fract_z
Cr1 Cr 0.000 0.000 0.000
Cr2 Cr 0.000 0.500 0.250
In1 In 0.000 0.000 0.500
Se1 Se 0.000 0.500 0.750
```



2.
Below is a relaxed Cr5InSe8 crystal, with properties calculated at the GGA-PBEsol level.

Formation energy without anion corrections = -0.446 eV/atom

Geometry as CIF:
```
data_Cr5InSe8
_chemical_formula_sum 'Cr10 In2 Se16'
_space_group_name_H-M_alt 'C 1 2/m 1'
_space_group_IT_number 12
_cell_length_a 18.512
_cell_length_b 3.602
_cell_length_c 8.753
_cell_angle_alpha 90.00
_cell_angle_beta 104.22
_cell_angle_gamma 90.00
loop_
_space_group_symop_operation_xyz
'x,y,z'
'-x,-y,-z'
'-x,y,-z'
'x,-y,z'
'x+1/2,y+1/2,z'
'-x+1/2,-y+1/2,-z'
'-x+1/2,y+1/2,-z'
'x+1/2,-y+1/2,z'
loop_
_atom_site_label
_atom_site_type_symbol
_atom_site_fract_x
_atom_site_fract_y
_atom_site_fract_z
Cr1 Cr 0.000 0.000 0.000
Cr2 Cr 0.156 0.500 0.975
Cr3 Cr 0.204 0.500 0.335
In1 In 0.000 0.500 0.500
Se1 Se 0.073 0.500 0.162
Se2 Se 0.084 0.000 0.817
Se3 Se 0.168 0.000 0.495
Se4 Se 0.237 0.000 0.156
```



3.
Below is a relaxed CrInSi2 crystal, with properties calculated at the GGA-PBEsol level.

Formation energy without anion corrections = 0.571 eV/atom

Geometry as CIF:
```
data_CrInSi2
_chemical_formula_sum 'Cr4 In4 Si8'
_space_group_name_H-M_alt 'F m -3 m'
_space_group_IT_number 225
_space_group_name_Hall '-F 4 2 3'
_cell_length_a 6.454
_cell_length_b 6.454
_cell_length_c 6.454
_cell_angle_alpha 90.00
_cell_angle_beta 90.00
_cell_angle_gamma 90.00
loop_
_atom_site_label
_atom_site_type_symbol
_atom_site_fract_x
_atom_site_fract_y
_atom_site_fract_z
Cr1 Cr 0.000 0.000 0.000
In1 In 0.000 0.000 0.500
Si1 Si 0.250 0.250 0.250
```



4.
Below is a relaxed Cr2InSi crystal, with properties calculated at the GGA-PBEsol level.

Formation energy without anion corrections = 0.298 eV/atom

Geometry as CIF:
```
data_Cr2InSi
_chemical_formula_sum 'Cr4 In2 Si2'
_space_group_name_H-M_alt 'I m m 2'
_space_group_IT_number 44
_cell_length_a 3.040
_cell_length_b 4.263
_cell_length_c 8.468
_cell_angle_alpha 90.00
_cell_angle_beta 90.00
_cell_angle_gamma 90.00
loop_
_space_group_symop_operation_xyz
'x,y,z'
'-x,-y,z'
'-x,y,z'
'x,-y,z'
'x+1/2,y+1/2,z+1/2'
'-x+1/2,-y+1/2,z+1/2'
'-x+1/2,y+1/2,z+1/2'
'x+1/2,-y+1/2,z+1/2'
loop_
_atom_site_label
_atom_site_type_symbol
_atom_site_fract_x
_atom_site_fract_y
_atom_site_fract_z
Cr1 Cr 0.000 0.000 0.000
Cr2 Cr 0.000 0.500 0.280
In1 In 0.000 0.000 0.509
Si1 Si 0.000 0.500 0.730
```



5.
Below is a relaxed ZrCrIn2Si crystal, with properties calculated at the GGA-PBEsol level.

Formation energy without anion corrections = 0.733 eV/atom

Geometry as CIF:
```
data_ZrCrIn2Si
_chemical_formula_sum 'Zr1 Cr1 In2 Si1'
_space_group_name_H-M_alt 'P 4/m m m'
_space_group_IT_number 123
_space_group_name_Hall '-P 4 2'
_cell_length_a 4.962
_cell_length_b 4.962
_cell_length_c 4.421
_cell_angle_alpha 90.00
_cell_angle_beta 90.00
_cell_angle_gamma 90.00
loop_
_atom_site_label
_atom_site_type_symbol
_atom_site_fract_x
_atom_site_fract_y
_atom_site_fract_z
Zr1 Zr 0.000 0.000 0.000
Cr1 Cr 0.500 0.500 0.000
In1 In 0.000 0.500 0.500
Si1 Si 0.500 0.500 0.500
```



6.
Below is a relaxed SrCrIn crystal, with properties calculated at the GGA-PBEsol level.

E_form = 0.6171 eV/atom

Geometry as CIF:
```
data_SrCrIn
_chemical_formula_sum 'Sr4 Cr4 In4'
_space_group_name_H-M_alt 'F -4 3 m'
_space_group_IT_number 216
_space_group_name_Hall 'F -4 2 3'
_cell_length_a 7.163
_cell_length_b 7.163
_cell_length_c 7.163
_cell_angle_alpha 90.00
_cell_angle_beta 90.00
_cell_angle_gamma 90.00
loop_
_atom_site_label
_atom_site_type_symbol
_atom_site_fract_x
_atom_site_fract_y
_atom_site_fract_z
Sr1 Sr 0.000 0.000 0.000
Cr1 Cr 0.000 0.000 0.500
In1 In 0.250 0.250 0.750
```



7.
Below is a relaxed SrCrIn crystal, with properties calculated at the GGA-PBEsol level.

E_form = 0.3145 eV/atom

Geometry as CIF:
```
data_SrCrIn
_chemical_formula_sum 'Sr2 Cr2 In2'
_space_group_name_H-M_alt 'I 4 m m'
_space_group_IT_number 107
_space_group_name_Hall 'I 4 -2'
_cell_length_a 3.734
_cell_length_b 3.734
_cell_length_c 11.359
_cell_angle_alpha 90.00
_cell_angle_beta 90.00
_cell_angle_gamma 90.00
loop_
_atom_site_label
_atom_site_type_symbol
_atom_site_fract_x
_atom_site_fract_y
_atom_site_fract_z
Sr1 Sr 0.000 0.000 0.000
Cr1 Cr 0.000 0.000 0.296
In1 In 0.000 0.000 0.699
```



8.
Below is a relaxed SrCrIn2 crystal, with properties calculated at the GGA-PBEsol level.

E_form = 0.0421 eV/atom

Geometry as CIF:
```
data_SrCrIn2
_chemical_formula_sum 'Sr3 Cr3 In6'
_space_group_name_H-M_alt 'R -3 m'
_space_group_IT_number 166
_space_group_name_Hall '-R 3 2"'
_cell_length_a 4.6898
_cell_length_b 4.6898
_cell_length_c 16.9693
_cell_angle_alpha 90.00
_cell_angle_beta 90.00
_cell_angle_gamma 120.00
loop_
_atom_site_label
_atom_site_type_symbol
_atom_site_fract_x
_atom_site_fract_y
_atom_site_fract_z
Sr1 Sr 0.0000 0.0000 0.0000
Cr1 Cr 0.0000 0.0000 0.5000
In1 In 0.0000 0.0000 0.2102
```



9.
Below is a relaxed SrCr2In crystal, with properties calculated at the GGA-PBEsol level.

E_form = 0.7884 eV/atom

Geometry as CIF:
```
data_SrCr2In
_chemical_formula_sum 'Sr1 Cr2 In1'
_space_group_name_H-M_alt 'P 4/m m m'
_space_group_IT_number 123
_space_group_name_Hall '-P 4 2'
_cell_length_a 4.591
_cell_length_b 4.591
_cell_length_c 4.172
_cell_angle_alpha 90.00
_cell_angle_beta 90.00
_cell_angle_gamma 90.00
loop_
_atom_site_label
_atom_site_type_symbol
_atom_site_fract_x
_atom_site_fract_y
_atom_site_fract_z
Sr1 Sr 0.000 0.000 0.000
Cr1 Cr 0.000 0.500 0.500
In1 In 0.500 0.500 0.000
```



10.
Below is a relaxed TaCr2In crystal, with properties calculated at the GGA-PBEsol level.

E_form = 0.2749 eV/atom

Geometry as CIF:
```
data_TaCr2In
_chemical_formula_sum 'Ta1 Cr2 In1'
_space_group_name_H-M_alt 'P 4/m m m'
_space_group_IT_number 123
_space_group_name_Hall '-P 4 2'
_cell_length_a 4.305
_cell_length_b 4.305
_cell_length_c 3.258
_cell_angle_alpha 90.00
_cell_angle_beta 90.00
_cell_angle_gamma 90.00
loop_
_atom_site_label
_atom_site_type_symbol
_atom_site_fract_x
_atom_site_fract_y
_atom_site_fract_z
Ta1 Ta 0.000 0.000 0.000
Cr1 Cr 0.000 0.500 0.500
In1 In 0.500 0.500 0.000
```



11.
Below is a relaxed TaCr2In crystal, with properties calculated at the GGA-PBEsol level.

E_form = 0.2496 eV/atom

Geometry as CIF:
```
data_TaCr2In
_chemical_formula_sum 'Ta1 Cr2 In1'
_space_group_name_H-M_alt 'P 4/m m m'
_space_group_IT_number 123
_space_group_name_Hall '-P 4 2'
_cell_length_a 3.222
_cell_length_b 3.222
_cell_length_c 5.898
_cell_angle_alpha 90.00
_cell_angle_beta 90.00
_cell_angle_gamma 90.00
loop_
_atom_site_label
_atom_site_type_symbol
_atom_site_fract_x
_atom_site_fract_y
_atom_site_fract_z
Ta1 Ta 0.000 0.000 0.000
Cr1 Cr 0.500 0.500 0.212
In1 In 0.000 0.000 0.500
```



12.
Below is a relaxed TaCr2In crystal, with properties calculated at the GGA-PBEsol level.

E_form = 0.1666 eV/atom

Geometry as CIF:
```
data_TaCr2In
_chemical_formula_sum 'Ta1 Cr2 In1'
_space_group_name_H-M_alt 'P 4 m m'
_space_group_IT_number 99
_cell_length_a 2.899
_cell_length_b 2.899
_cell_length_c 7.180
_cell_angle_alpha 90.00
_cell_angle_beta 90.00
_cell_angle_gamma 90.00
loop_
_space_group_symop_operation_xyz
'x,y,z'
'-y,x,z'
'-x,-y,z'
'y,-x,z'
'-x,y,z'
'y,x,z'
'x,-y,z'
'-y,-x,z'
loop_
_atom_site_label
_atom_site_type_symbol
_atom_site_fract_x
_atom_site_fract_y
_atom_site_fract_z
Ta1 Ta 0.000 0.000 0.000
Cr1 Cr 0.000 0.000 0.408
Cr2 Cr 0.500 0.500 0.250
In1 In 0.500 0.500 0.681
```



13.
Below is a relaxed TaCr2In crystal, with properties calculated at the GGA-PBEsol level.

E_form = 0.4191 eV/atom

Geometry as CIF:
```
data_TaCr2In
_chemical_formula_sum 'Ta2 Cr4 In2'
_space_group_name_H-M_alt 'I -4 m 2'
_space_group_IT_number 119
_space_group_name_Hall 'I -4 -2'
_cell_length_a 3.782
_cell_length_b 3.782
_cell_length_c 8.498
_cell_angle_alpha 90.00
_cell_angle_beta 90.00
_cell_angle_gamma 90.00
loop_
_atom_site_label
_atom_site_type_symbol
_atom_site_fract_x
_atom_site_fract_y
_atom_site_fract_z
Ta1 Ta 0.000 0.000 0.000
Cr1 Cr 0.000 0.000 0.500
Cr2 Cr 0.000 0.500 0.250
In1 In 0.000 0.500 0.750
```



14.
Below is a relaxed TaCr3In crystal, with properties calculated at the GGA-PBEsol level.

E_form = 2.2043 eV/atom

Geometry as CIF:
```
data_TaCr3In
_chemical_formula_sum 'Ta1 Cr3 In1'
_space_group_name_H-M_alt 'P m -3 m'
_space_group_IT_number 221
_space_group_name_Hall '-P 4 2 3'
_cell_length_a 4.713
_cell_length_b 4.713
_cell_length_c 4.713
_cell_angle_alpha 90.00
_cell_angle_beta 90.00
_cell_angle_gamma 90.00
loop_
_atom_site_label
_atom_site_type_symbol
_atom_site_fract_x
_atom_site_fract_y
_atom_site_fract_z
Ta1 Ta 0.000 0.000 0.000
Cr1 Cr 0.000 0.500 0.500
In1 In 0.500 0.500 0.500
```



15.
Below is a relaxed TaCr2In crystal, with properties calculated at the GGA-PBEsol level.

E_form = 0.3602 eV/atom

Geometry as CIF:
```
data_TaCr2In
_chemical_formula_sum 'Ta1 Cr2 In1'
_space_group_name_H-M_alt 'P 1 2/m 1'
_space_group_IT_number 10
_cell_length_a 2.824
_cell_length_b 4.345
_cell_length_c 5.285
_cell_angle_alpha 90.00
_cell_angle_beta 97.47
_cell_angle_gamma 90.00
loop_
_space_group_symop_operation_xyz
'x,y,z'
'-x,-y,-z'
'-x,y,-z'
'x,-y,z'
loop_
_atom_site_label
_atom_site_type_symbol
_atom_site_fract_x
_atom_site_fract_y
_atom_site_fract_z
Ta1 Ta 0.000 0.000 0.000
Cr1 Cr 0.323 0.500 0.816
In1 In 0.500 0.000 0.500
```